Entry 1:
MgVH: optimized geometry, PBE.

## Properties
Polymorph energy (0 for the lowest one), eV/atom: 0.003
SG: P-1 (2)

Unit cell a=2.916 b=2.909 c=9.791 alpha=103.70 beta=85.00 gamma=117.06
Fractional positions:
Mg1 0.180 0.927 0.240
Mg2 0.848 0.514 0.516
V1 0.235 0.376 0.775
V2 0.793 0.067 0.981
H1 0.569 0.979 0.698
H2 0.460 0.464 0.058

Entry 2:
MgVH: optimized geometry, PBE.

## Properties
Polymorph energy (0 for the lowest one), eV/atom: 1.356
SG: P6_3/mmc (194)

Unit cell a=4.590 b=4.590 c=5.425 alpha=90.00 beta=90.00 gamma=120.00
Fractional positions:
Mg1 0.333 0.667 0.250
Mg2 0.667 0.333 0.750
V1 0.333 0.667 0.750
V2 0.667 0.333 0.250
H1 0.000 0.000 0.000
H2 0.000 0.000 0.500

Entry 3:
MgVH: optimized geometry, PBE.

## Properties
Polymorph energy (0 for the lowest one), eV/atom: 0.068
SG: Pmn2_1 (31)

Unit cell a=2.908 b=4.820 c=5.052 alpha=90.00 beta=90.00 gamma=90.00
Fractional positions:
V1 0.500 0.504 0.268
V2 0.000 0.496 0.768
Mg1 0.500 0.994 0.599
Mg2 0.000 0.006 0.099
H1 0.500 0.640 0.933
H2 0.000 0.360 0.433

Entry 4:
MgVZnH2: optimized geometry, PBE.

## Properties
SG: P4/mmm (123)
Total DFT energy (no corrections), eV per cell: -14.9

Unit cell a=3.594 b=5.390 c=3.594 alpha=90.00 beta=90.00 gamma=90.00
Fractional positions:
H1 0.500 0.000 0.000
H2 0.000 0.000 0.500
Zn1 0.000 0.500 0.000
Mg1 0.000 0.000 0.000
V1 0.500 0.500 0.500

Entry 5:
MgHW: optimized geometry, PBE.

## Properties
Polymorph energy (0 for the lowest one), eV/atom: 0.073
SG: Imm2 (44)

Unit cell a=9.774 b=2.942 c=5.129 alpha=90.00 beta=90.00 gamma=90.00
Fractional positions:
H1 0.840 0.500 0.712
H2 0.660 0.000 0.212
H3 0.340 0.000 0.212
H4 0.160 0.500 0.712
W1 0.249 0.000 0.881
W2 0.749 0.500 0.381
W3 0.251 0.500 0.381
W4 0.751 0.000 0.881
Mg1 0.500 0.000 0.557
Mg2 0.000 0.000 0.535
Mg3 0.000 0.500 0.057
Mg4 0.500 0.500 0.035

Entry 6:
MgHW: optimized geometry, PBE.

## Properties
Polymorph energy (0 for the lowest one), eV/atom: 0.000
SG: Pmm2 (25)

Unit cell a=3.348 b=3.232 c=7.073 alpha=90.00 beta=90.00 gamma=90.00
Fractional positions:
Mg1 0.500 0.500 0.900
Mg2 0.000 0.000 0.210
H1 0.000 0.500 0.777
H2 0.500 0.500 0.183
W1 0.000 0.000 0.643
W2 0.500 0.500 0.444

Entry 7:
MgHW: optimized geometry, PBE.

## Properties
Polymorph energy (0 for the lowest one), eV/atom: 0.070
SG: Pm (6)

Unit cell a=3.229 b=3.339 c=7.218 alpha=90.00 beta=90.65 gamma=90.00
Fractional positions:
H1 0.072 0.500 0.323
H2 0.853 0.500 0.691
Mg1 0.381 0.500 0.095
Mg2 0.865 0.000 0.822
W1 0.851 0.000 0.356
W2 0.354 0.500 0.558

Entry 8:
MgH3W: optimized geometry, PBE.

## Properties
Polymorph energy (0 for the lowest one), eV/atom: 0.000
SG: Pm-3m (221)

Unit cell a=3.572 b=3.572 c=3.572 alpha=90.00 beta=90.00 gamma=90.00
Fractional positions:
H1 0.000 0.000 0.500
H2 0.500 0.000 0.000
H3 0.000 0.500 0.000
W1 0.000 0.000 0.000
Mg1 0.500 0.500 0.500

Entry 9:
MgHW3: optimized geometry, PBE.

## Properties
Polymorph energy (0 for the lowest one), eV/atom: 2.920
SG: Pm-3m (221)

Unit cell a=4.588 b=4.588 c=4.588 alpha=90.00 beta=90.00 gamma=90.00
Fractional positions:
W1 0.000 0.500 0.000
W2 0.500 0.000 0.000
W3 0.000 0.000 0.500
Mg1 0.000 0.000 0.000
H1 0.500 0.500 0.500

Entry 10:
MgH2W2: optimized geometry, PBE.

## Properties
Polymorph energy (0 for the lowest one), eV/atom: 0.000
SG: I4/mmm (139)

Unit cell a=3.442 b=3.442 c=5.259 alpha=70.90 beta=70.90 gamma=90.00
Fractional positions:
W1 0.667 0.667 0.666
W2 0.333 0.333 0.334
Mg1 0.000 0.000 0.000
H1 0.750 0.250 0.500
H2 0.250 0.750 0.500